Record 1
Tb2SmDy6Th GGA-PBE relaxed; crystal system = triclinic; final energy = -0.3495 Ry/atom; total magnetic moment = 0.000 μB per formula unit; mass density = 8577 kg/m3; N(E_F) = 1.544 states/eV/atom
1.0
-6.4534 -6.0791 3.9140
3.4365 -5.9924 -5.3473
4.1509 1.5301 7.5315
Tb Sm Dy Th
4 2 12 2
Cartesian
2.7854 -6.5316 2.7933
1.5022 -1.7257 0.0520
-1.6514 -4.0098 3.3048
-0.3682 -8.8156 6.0461
1.8391 -7.3528 -4.0940
-0.7051 -3.1886 10.1921
3.1164 0.0520 5.1810
1.6874 -2.8721 6.9698
-1.9823 -10.5934 0.9172
-0.5533 -7.6693 -0.8717
3.0805 -7.1096 -0.7638
0.8826 -4.5192 -2.1592
-1.9464 -3.4318 6.8619
0.2514 -6.0222 8.2574
3.6893 -4.1699 0.4407
0.5231 -4.8884 1.0347
-2.5553 -6.3715 5.6574
0.6110 -5.6530 5.0635
2.2449 -3.0332 3.2952
-1.1109 -7.5082 2.8029



Record 2
Tb3Sm6Dy2Th GGA-PBE relaxed; crystal system = monoclinic; final energy = -0.3583 Ry/atom; total magnetic moment = 0.000 μB per formula unit; mass density = 8156 kg/m3; N(E_F) = 1.359 states/eV/atom
1.0
-2.8217 -2.3019 5.0438
2.8359 -3.8368 -3.9921
9.9945 3.1102 5.7296
Tb Sm Dy Th
3 6 2 1
Cartesian
6.8880 -2.0253 0.3823
3.1207 -1.0032 6.3989
5.0043 -1.5142 3.3906
6.5826 -2.0212 6.5844
2.4995 -3.8533 2.2196
3.4261 -1.0073 0.1969
8.4505 -2.5280 3.6012
7.5092 0.8249 4.5617
1.5582 -0.5005 3.1800
0.9494 -3.3250 -0.9792
-0.9352 -2.8137 2.0308
0.0000 0.0000 0.0000



Record 3
Tb2Sm6Dy3Tl GGA-PBE relaxed; crystal system = monoclinic; final energy = -0.3304 Ry/atom; total magnetic moment = 0.000 μB per formula unit; mass density = 8304 kg/m3; N(E_F) = 1.137 states/eV/atom
1.0
-5.3220 -0.0894 -3.1332
2.4905 -5.2757 2.0281
-4.9123 2.8578 10.3074
Tb Sm Dy Tl
2 6 3 1
Cartesian
-0.1192 -3.5433 0.3040
-2.7123 -1.8219 -1.4091
-7.1073 -1.0446 6.0669
-3.3654 -3.3342 1.7437
-0.6366 -1.4627 3.1354
-4.5440 -2.7463 7.7603
-4.3785 0.8268 7.4585
-3.1998 0.2389 1.4420
-1.2739 -2.9784 6.3175
-6.4699 0.4710 2.8848
-3.8719 -1.2537 4.6011
0.0000 0.0000 0.0000



Record 4
TbSm2DyTl4 GGA-PBE relaxed; crystal system = trigonal; final energy = -0.2850 Ry/atom; total magnetic moment = 0.000 μB per formula unit; mass density = 10609 kg/m3; N(E_F) = 0.822 states/eV/atom
1.0
-2.0444 -2.8740 -4.1140
0.9773 -5.3193 -0.3385
-7.6417 -4.3731 3.2836
Tb Sm Dy Tl
1 2 1 4
Cartesian
0.0000 0.0000 0.0000
-6.5288 -9.4242 -0.8786
-2.1800 -3.1422 -0.2904
-4.3544 -6.2832 -0.5845
-7.0833 -6.8982 1.2013
-3.8026 -8.8098 -2.6624
-4.9062 -3.7566 1.4935
-1.6255 -5.6682 -2.3702



Record 5
Tb6Sm2Dy3Tl GGA-PBE relaxed; crystal system = monoclinic; final energy = -0.3289 Ry/atom; total magnetic moment = 0.000 μB per formula unit; mass density = 8640 kg/m3; N(E_F) = 1.258 states/eV/atom
1.0
-5.3667 -2.9033 -0.4278
4.8355 -2.8433 2.4385
-2.7809 5.8599 9.7756
Tb Sm Dy Tl
6 2 3 1
Cartesian
-4.1603 0.0585 8.3803
-1.0987 -2.8678 3.9708
0.8483 0.0548 3.4060
-0.8135 0.0781 9.3206
-2.2133 2.9811 7.8156
-2.4985 0.0351 2.4658
1.4284 -2.8634 1.4813
-1.9595 -2.8833 0.5295
1.7415 0.0766 6.8477
-5.0534 0.0367 4.9387
-1.6560 0.0566 5.8932
0.0000 0.0000 0.0000



Record 6
Tb2SmDyTl4 GGA-PBE relaxed; crystal system = trigonal; final energy = -0.2837 Ry/atom; total magnetic moment = 0.000 μB per formula unit; mass density = 10783 kg/m3; N(E_F) = 0.879 states/eV/atom
1.0
-3.9978 -2.7660 2.3505
1.1225 -4.3612 2.9795
-0.2555 2.7132 8.9608
Tb Sm Dy Tl
2 1 1 4
Cartesian
-2.3488 -3.3162 10.7102
-0.7819 -1.0979 3.5806
0.0000 0.0000 0.0000
-1.5653 -2.2070 7.1454
-1.3036 -0.3119 9.8207
-2.6098 -5.2060 8.0423
-0.5208 0.7919 6.2485
-1.8271 -4.1021 4.4701